DFT (PBE) results for an optimized crystal structure of LiIn2Pb5.

Lattice parameters (Å, degrees): 4.6974 11.1247 17.4108 90.00 90.00 90.00
Last column: nearest neighbours and their distance in Å.
Space group Cmcm (No. 63)
Asymmetric unit:
Li 0.0000 0.1820 0.2500 (multiplicity 4)  3 Pb 2.97-3.21, 4 In 2.97
In 0.0000 0.2408 0.6579 (multiplicity 8)  2 Li 2.97, 1 In 3.21, 2 Pb 3.31
Pb 0.0000 0.0499 0.1019 (multiplicity 8)  1 Li 2.97
Pb 0.0000 0.3510 0.0373 (multiplicity 8)  3 In 3.31-3.61, 8 Pb 3.42-3.56
Pb 0.0000 0.4703 0.2500 (multiplicity 4)  3 Li 3.21-3.33

Computed properties:
Total magnetization = 0.00 μB per cell
Formation enthalpy at 0 K = -38 meV per atom